This record from the Alexandria database describes a relaxed ScCuOs crystal. The functional is PBE.

a b c (Å): 3.2639 3.2639 8.8217
angles (deg): 90.00 90.00 90.00
Space group I4mm (No. 107)
Asymmetric unit:
Sc 0.0000 0.0000 0.0000 (multiplicity 2)
Cu 0.0000 0.0000 0.6870 (multiplicity 2)
Os 0.0000 0.0000 0.3217 (multiplicity 2)

* raw total energy: -7.2427 eV/atom
* N(E_F): 1.8 states/eV/f.u.
* magnetic moment: 0.00 Bohr magnetons per cell
* energy relative to the lowest polymorph listed for this composition: 288 meV/atom
* formation energy from the elements: -24 meV per atom

This record from the Alexandria database describes a relaxed MgIn2Rh crystal. The functional is PBE.

a b c (Å): 6.7555 6.7555 6.7555
angles (deg): 90.00 90.00 90.00
Space group F-43m (No. 216)
Asymmetric unit:
Mg 0.0000 0.0000 0.0000 (multiplicity 4)
In 0.0000 0.0000 0.5000 (multiplicity 4)
In 0.2500 0.2500 0.2500 (multiplicity 4)
Rh 0.2500 0.2500 0.7500 (multiplicity 4)

* raw total energy: -3.6925 eV/atom
* N(E_F): 2.6 states/eV/f.u.
* magnetic moment: 0.00 Bohr magnetons per cell
* formation energy from the elements: -87 meV per atom

This record from the Alexandria database describes a relaxed PmNdMgSc crystal. The functional is PBE.

a b c (Å): 3.6962 3.6962 8.6352
angles (deg): 90.00 90.00 90.00
Space group P4mm (No. 99)
Asymmetric unit:
Pm 0.0000 0.0000 0.0000 (multiplicity 1)
Nd 0.0000 0.0000 0.4959 (multiplicity 1)
Mg 0.5000 0.5000 0.2463 (multiplicity 1)
Sc 0.5000 0.5000 0.7492 (multiplicity 1)

* raw total energy: -4.3680 eV/atom
* N(E_F): 6.4 states/eV/f.u.
* magnetic moment: 0.33 Bohr magnetons per cell
* energy relative to the lowest polymorph listed for this composition: 0 meV/atom
* formation energy from the elements: -7 meV per atom

This record from the Alexandria database describes a relaxed CaPr3Zn2 crystal. The functional is PBE.

a b c (Å): 5.2535 9.5118 6.9982
angles (deg): 90.00 90.00 90.00
Space group Pmc2_1 (No. 26)
Asymmetric unit:
Ca 0.0000 0.0563 0.0000 (multiplicity 2)
Pr 0.0000 0.3301 0.6510 (multiplicity 2)
Pr 0.5000 0.1667 0.3179 (multiplicity 2)
Pr 0.5000 0.4424 0.9780 (multiplicity 2)
Zn 0.0000 0.3478 0.2153 (multiplicity 2)
Zn 0.5000 0.1529 0.7565 (multiplicity 2)

* raw total energy: -3.3246 eV/atom
* N(E_F): 6.1 states/eV/f.u.
* magnetic moment: 0.00 Bohr magnetons per cell
* energy relative to the lowest polymorph listed for this composition: 10 meV/atom
* formation energy from the elements: -177 meV per atom

This record from the Alexandria database describes a relaxed BeFeTc3 crystal. The functional is PBE.

a b c (Å): 4.3619 4.3619 4.3619
angles (deg): 90.00 90.00 90.00
Space group Pm-3m (No. 221)
Asymmetric unit:
Be 0.0000 0.0000 0.0000 (multiplicity 1)
Fe 0.5000 0.5000 0.5000 (multiplicity 1)
Tc 0.0000 0.5000 0.5000 (multiplicity 3)

* raw total energy: -7.1855 eV/atom
* N(E_F): 5.6 states/eV/f.u.
* magnetic moment: 0.00 Bohr magnetons per cell
* energy relative to the lowest polymorph listed for this composition: 680 meV/atom
* formation energy from the elements: 1472 meV per atom

This record from the Alexandria database describes a relaxed Zr2ClF crystal. The functional is PBE.

a b c (Å): 5.7072 5.7072 10.1428
angles (deg): 90.00 90.00 90.00
Space group I-42d (No. 122)
Asymmetric unit:
Zr 0.2082 0.2500 0.1250 (multiplicity 8)
Cl 0.0000 0.0000 0.5000 (multiplicity 4)
F 0.0000 0.0000 0.0000 (multiplicity 4)

* E_form (uncorrected): -3.11 eV/f.u.
* raw total energy: -5.9821 eV/atom
* N(E_F): 4.6 states/eV/f.u.
* magnetic moment: 0.00 Bohr magnetons per cell
* energy relative to the lowest polymorph listed for this composition: 0 meV/atom

This record from the Alexandria database describes a relaxed LiCa2Cd16 crystal. The functional is PBE.

a b c (Å): 10.1520 10.1520 15.0367
angles (deg): 90.00 90.00 120.00
Space group R3m (No. 160, hexagonal axes)
Asymmetric unit:
Li 0.0000 0.0000 0.0000 (multiplicity 3)
Ca 0.0000 0.0000 0.2497 (multiplicity 3)
Ca 0.0000 0.0000 0.5728 (multiplicity 3)
Cd 0.0000 0.0000 0.7995 (multiplicity 3)
Cd 0.0009 0.5005 0.0564 (multiplicity 9)
Cd 0.0374 0.3701 0.5781 (multiplicity 18)
Cd 0.1772 0.3543 0.0970 (multiplicity 9)
Cd 0.1776 0.3552 0.7467 (multiplicity 9)

* raw total energy: -1.2293 eV/atom
* N(E_F): 6.2 states/eV/f.u.
* magnetic moment: 0.00 Bohr magnetons per cell
* formation energy from the elements: -147 meV per atom

This record from the Alexandria database describes a relaxed CsCuGeF6 crystal. The functional is PBE.

a b c (Å): 5.7367 10.2346 5.9323
angles (deg): 90.00 92.02 90.00
Space group C2 (No. 5)
Asymmetric unit:
Cs 0.0000 0.0000 0.0000 (multiplicity 2)
Cu 0.0000 0.3356 0.5000 (multiplicity 2)
Ge 0.0000 0.6865 0.5000 (multiplicity 2)
F 0.1786 0.5638 0.3719 (multiplicity 4)
F 0.1891 0.7018 0.7500 (multiplicity 4)
F 0.1888 0.8205 0.3736 (multiplicity 4)

* E_form (uncorrected): -20.47 eV/f.u.
* raw total energy: -4.5852 eV/atom
* N(E_F): 0.0 states/eV/f.u.
* magnetic moment: 0.13 Bohr magnetons per cell

This record from the Alexandria database describes a relaxed Ho2ScAg3Te6 crystal. The functional is PBE.

a b c (Å): 19.4981 4.2968 8.4334
angles (deg): 90.00 103.79 90.00
Space group C2/m (No. 12)
Asymmetric unit:
Ho 0.1732 0.0000 0.3030 (multiplicity 4)
Sc 0.0000 0.5000 0.0000 (multiplicity 2)
Ag 0.0000 0.5000 0.5000 (multiplicity 2)
Ag 0.2017 0.0000 0.7938 (multiplicity 4)
Te 0.0115 0.0000 0.2471 (multiplicity 4)
Te 0.1554 0.5000 0.0332 (multiplicity 4)
Te 0.1624 0.5000 0.5632 (multiplicity 4)

* E_form (uncorrected): -9.54 eV/f.u.
* raw total energy: -4.3693 eV/atom
* magnetic moment: 0.00 Bohr magnetons per cell

This record from the Alexandria database describes a relaxed CaIrN2O crystal. The functional is PBE.

a b c (Å): 3.7847 3.7847 4.4259
angles (deg): 90.00 90.00 90.00
Space group P4/mmm (No. 123)
Asymmetric unit:
Ca 0.0000 0.0000 0.0000 (multiplicity 1)
Ir 0.5000 0.5000 0.5000 (multiplicity 1)
N 0.0000 0.5000 0.5000 (multiplicity 2)
O 0.5000 0.5000 0.0000 (multiplicity 1)

* E_form (uncorrected): -1.66 eV/f.u.
* raw total energy: -6.8254 eV/atom
* N(E_F): 0.8 states/eV/f.u.
* magnetic moment: 0.00 Bohr magnetons per cell

This record from the Alexandria database describes a relaxed BaAgIr2 crystal. The functional is PBE.

a b c (Å): 5.8943 9.2541 3.0141
angles (deg): 90.00 90.00 90.00
Space group Cmmm (No. 65)
Asymmetric unit:
Ba 0.0000 0.0000 0.0000 (multiplicity 2)
Ag 0.0000 0.5000 0.0000 (multiplicity 2)
Ir 0.2500 0.2500 0.5000 (multiplicity 4)

* raw total energy: -4.8614 eV/atom
* N(E_F): 6.0 states/eV/f.u.
* magnetic moment: 1.17 Bohr magnetons per cell
* energy relative to the lowest polymorph listed for this composition: 774 meV/atom
* formation energy from the elements: 763 meV per atom

This record from the Alexandria database describes a relaxed U2Co2Ge3 crystal. The functional is PBE.

a b c (Å): 4.1708 17.6394 6.5654
angles (deg): 90.00 90.00 90.00
Space group Cmcm (No. 63)
Asymmetric unit:
U 0.0000 0.0466 0.2500 (multiplicity 4)
U 0.0000 0.1643 0.7500 (multiplicity 4)
Co 0.0000 0.2995 0.5472 (multiplicity 8)
Ge 0.0000 0.2138 0.2500 (multiplicity 4)
Ge 0.0000 0.4312 0.0558 (multiplicity 8)

* raw total energy: -7.5545 eV/atom
* N(E_F): 10.2 states/eV/f.u.
* magnetic moment: 12.91 Bohr magnetons per cell
* formation energy from the elements: -320 meV per atom